(i)
Below is a relaxed KNa2SnHg crystal, with properties calculated at the PBE-GGA level.

Geometry as extended XYZ:
```
5
Lattice="5.869 0.000 0.000 0.000 5.869 0.000 0.000 0.000 5.507" Properties=species:S:1:pos:R:3 pbc="T T T"
K 0.000 0.000 0.000
Na 0.000 2.935 2.754
Na 2.935 0.000 2.754
Sn 2.935 2.935 0.000
Hg 2.935 2.935 2.754
```



(ii)
Below is a relaxed KNa2SnHg crystal, with properties calculated at the PBE-GGA level.

Geometry as extended XYZ:
```
5
Lattice="5.998 0.000 0.000 0.000 5.998 0.000 0.000 0.000 5.720" Properties=species:S:1:pos:R:3 pbc="T T T"
K 0.000 0.000 0.000
Na 0.000 2.999 2.860
Na 2.999 0.000 2.860
Sn 2.999 2.999 2.860
Hg 2.999 2.999 0.000
```



Verdict on stability: (ii) comes out on top.



(i)
Below is a relaxed KNaSr2Hg crystal, with properties calculated at the PBE-GGA level.

Geometry as extended XYZ:
```
5
Lattice="6.362 0.000 0.000 0.000 6.362 0.000 0.000 0.000 6.586" Properties=species:S:1:pos:R:3 pbc="T T T"
K 0.000 0.000 0.000
Na 3.181 3.181 0.000
Sr 0.000 3.181 3.293
Sr 3.181 0.000 3.293
Hg 0.000 0.000 3.293
```



(ii)
Below is a relaxed KNaSr2Hg crystal, with properties calculated at the PBE-GGA level.

Geometry as extended XYZ:
```
5
Lattice="6.416 0.000 0.000 0.000 6.416 0.000 0.000 0.000 6.102" Properties=species:S:1:pos:R:3 pbc="T T T"
K 0.000 0.000 0.000
Na 3.208 3.208 0.000
Sr 0.000 3.208 3.051
Sr 3.208 0.000 3.051
Hg 3.208 3.208 3.051
```



Verdict on stability: (ii) comes out on top.



(i)
Below is a relaxed KNaTlHg crystal, with properties calculated at the PBE-GGA level.

Geometry as extended XYZ:
```
4
Lattice="0.000 3.970 3.970 3.970 0.000 3.970 3.970 3.970 0.000" Properties=species:S:1:pos:R:3 pbc="T T T"
K 0.000 0.000 0.000
Na 1.985 1.985 1.985
Tl 3.970 3.970 3.970
Hg 5.955 5.955 5.955
```



(ii)
Below is a relaxed KNaTlHg crystal, with properties calculated at the PBE-GGA level.

Geometry as extended XYZ:
```
4
Lattice="2.639 1.524 5.856 -2.639 1.524 5.856 0.000 -3.048 5.856" Properties=species:S:1:pos:R:3 pbc="T T T"
K 0.000 0.000 0.000
Na 0.000 0.000 3.620
Tl 0.000 0.000 8.097
Hg 0.000 0.000 13.926
```



Verdict on stability: (ii) comes out on top.



(i)
Below is a relaxed K2NaTlHg crystal, with properties calculated at the PBE-GGA level.

Geometry as extended XYZ:
```
5
Lattice="6.617 0.000 0.000 0.000 6.617 0.000 0.000 0.000 5.775" Properties=species:S:1:pos:R:3 pbc="T T T"
K 0.000 3.309 0.000
K 3.309 0.000 0.000
Na 0.000 0.000 2.887
Tl 3.309 3.309 2.887
Hg 3.309 3.309 0.000
```



(ii)
Below is a relaxed K2NaTlHg crystal, with properties calculated at the PBE-GGA level.

Geometry as extended XYZ:
```
5
Lattice="6.500 0.000 0.000 0.000 6.500 0.000 0.000 0.000 5.786" Properties=species:S:1:pos:R:3 pbc="T T T"
K 0.000 3.250 0.000
K 3.250 0.000 0.000
Na 0.000 0.000 2.893
Tl 3.250 3.250 2.893
Hg 0.000 0.000 0.000
```



Verdict on stability: (i) comes out on top.



(i)
Below is a relaxed KNbHg crystal, with properties calculated at the PBE-GGA level.

Geometry as extended XYZ:
```
3
Lattice="5.536 0.000 0.000 -2.768 4.794 0.000 0.000 0.000 2.869" Properties=species:S:1:pos:R:3 pbc="T T T"
K 0.000 0.000 0.000
Nb 2.768 1.598 1.434
Hg 0.000 3.196 1.434
```



(ii)
Below is a relaxed KNbHg crystal, with properties calculated at the PBE-GGA level.

Geometry as extended XYZ:
```
6
Lattice="4.764 0.000 0.000 0.476 5.656 0.000 0.421 1.092 6.905" Properties=species:S:1:pos:R:3 pbc="T T T"
K 1.444 1.870 2.861
K 4.217 4.878 4.044
Nb 1.857 6.168 6.828
Nb 3.804 0.581 0.078
Hg 1.847 3.286 6.067
Hg 3.814 3.463 0.838
```



(iii)
Below is a relaxed KNbHg crystal, with properties calculated at the PBE-GGA level.

Geometry as extended XYZ:
```
6
Lattice="5.458 0.000 0.000 0.000 3.341 0.000 -2.613 0.000 9.496" Properties=species:S:1:pos:R:3 pbc="T T T"
K 0.000 0.000 0.000
K 0.116 0.000 6.793
Nb 2.846 0.000 3.112
Nb 2.847 1.670 4.996
Hg 0.117 1.670 3.556
Hg 2.725 1.670 0.684
```



(iv)
Below is a relaxed KNbHg crystal, with properties calculated at the PBE-GGA level.

Geometry as extended XYZ:
```
3
Lattice="0.000 3.688 3.688 3.688 0.000 3.688 3.688 3.688 0.000" Properties=species:S:1:pos:R:3 pbc="T T T"
K 0.000 0.000 0.000
Nb 3.688 3.688 3.688
Hg 1.844 1.844 1.844
```



Verdict on stability: (iii) comes out on top.



(i)
Below is a relaxed KNbHg2 crystal, with properties calculated at the PBE-GGA level.

Geometry as extended XYZ:
```
8
Lattice="-2.805 2.805 9.674 2.805 -2.805 9.674 2.805 2.805 -9.674" Properties=species:S:1:pos:R:3 pbc="T T T"
K 0.000 0.000 0.000
K 0.000 2.805 4.837
Nb 2.805 0.000 4.837
Nb 0.000 0.000 9.674
Hg 1.402 -0.583 7.256
Hg 2.221 1.402 2.419
Hg 1.402 3.388 -2.419
Hg 0.583 1.402 12.093
```



(ii)
Below is a relaxed KNbHg2 crystal, with properties calculated at the PBE-GGA level.

Geometry as extended XYZ:
```
4
Lattice="0.000 3.706 3.706 3.706 0.000 3.706 3.706 3.706 0.000" Properties=species:S:1:pos:R:3 pbc="T T T"
K 0.000 0.000 0.000
Nb 3.706 3.706 3.706
Hg 1.853 1.853 1.853
Hg 5.560 5.560 5.560
```



Verdict on stability: (ii) comes out on top.